Compound: BaPtPb2
Source: the Alexandria database
Functional: PBEsol
Structure: relaxed

## Properties
Space-group type: R3m (160)
Formation energy in kcal/mol of atoms: -10.53
Crystal system: trigonal

a b c (Å): 4.7045 4.7045 6.7764
angles (deg): 69.69 69.69 60.00
Closest atoms and distances in Å follow each position.
Atoms (fractional coordinates):
Pt: 0.5717 0.5717 0.2849  6 Pb 2.81-2.93
Pb: 0.9634 0.9634 0.1099  3 Pt 2.93, 3 Pb 3.27
Pb: 0.1991 0.1991 0.4028  3 Pt 2.81
Ba: 0.7504 0.7504 0.7489  1 Pt 3.33, 6 Pb 3.46-3.52